Entry 1:
The following is a DFT calculation (PBE) of a relaxed TlTeIN2 crystal.

Output
N(E_F) = 2.970 states/eV/cell
raw formation energy = 1.643 eV/atom
relative energy among the computed polymorphs = 407 meV/atom
total magnetization = 0.2514 μB/atom
raw total energy = -15.50 eV/f.u.

Cell and atoms, written as POSCAR:
```
TlTeIN2
1.0
4.2199 0.0000 0.0000
0.0000 4.2199 0.0000
0.0000 0.0000 8.1564
I Tl Te N
1 1 1 2
direct
0.0000 0.0000 0.0000 I
0.5000 0.5000 0.5000 Tl
0.0000 0.0000 0.5000 Te
0.0000 0.5000 0.0000 N
0.5000 0.0000 0.0000 N
```



Entry 2:
The following is a DFT calculation (PBE) of a relaxed Pr2CrRe2N6 crystal.

Output
N(E_F) = 4.780 states/eV/cell
raw formation energy = -0.371 eV/atom
total magnetization = 0.1957 μB/atom
raw total energy = -98.11 eV/f.u.

Cell and atoms, written as POSCAR:
```
Pr2CrRe2N6
1.0
-4.2933 -4.0576 -0.1150
-0.1736 -4.2348 4.1166
-4.5445 0.3809 4.4403
Pr Cr Re N
2 1 2 6
direct
0.7988 0.7988 0.6038 Pr
0.2013 0.2013 0.3962 Pr
0.0000 0.0000 0.0000 Cr
0.4275 0.4275 0.7174 Re
0.5725 0.5725 0.2826 Re
0.7699 0.7699 0.2302 N
0.2300 0.7699 0.2302 N
0.7699 0.2300 0.2302 N
0.2301 0.7700 0.7698 N
0.7700 0.2301 0.7698 N
0.2301 0.2301 0.7698 N
```



Entry 3:
The following is a DFT calculation (PBE) of a relaxed Cs3RbOs crystal.

Output
N(E_F) = 5.595 states/eV/cell
total magnetization = 0.0000 μB/atom
E_form = 1090 meV per atom
raw total energy = -9.31 eV/f.u.

Cell and atoms, written as POSCAR:
```
Cs3RbOs
1.0
-4.0252 -1.5516 5.0542
5.0596 0.7123 4.2482
-1.5337 6.4218 0.7499
Cs Os Rb
3 1 1
direct
0.0000 0.5000 0.0000 Cs
0.0000 0.0000 0.5000 Cs
0.5000 0.0000 0.0000 Cs
0.0000 0.0000 0.0000 Os
0.5000 0.5000 0.5000 Rb
```



Entry 4:
The following is a DFT calculation (PBE) of a relaxed Cs3TeCl6 crystal.

Output
N(E_F) = 0.000 states/eV/cell
raw formation energy = -1.338 eV/atom
relative energy among the computed polymorphs = 8 meV/atom
total magnetization = 0.1000 μB/atom
raw total energy = -30.16 eV/f.u.

Cell and atoms, written as POSCAR:
```
Cs3TeCl6
1.0
8.2140 0.0000 0.0000
0.0000 8.2140 0.0000
4.1070 4.1070 6.4392
Cs Te Cl
3 1 6
direct
0.7500 0.2500 0.5000 Cs
0.2500 0.7500 0.5000 Cs
0.0000 0.0000 0.0000 Cs
0.5000 0.5000 0.0000 Te
0.2554 0.2554 0.4891 Cl
0.7446 0.7446 0.5109 Cl
0.2799 0.2799 0.0000 Cl
0.7201 0.7201 0.0000 Cl
0.7201 0.2799 0.0000 Cl
0.2799 0.7201 0.0000 Cl
```



Entry 5:
The following is a DFT calculation (PBE) of a relaxed Pm2In crystal.

Output
N(E_F) = 13.415 states/eV/cell
relative energy among the computed polymorphs = 0 meV/atom
total magnetization = 0.0001 μB/atom
E_form = -353 meV per atom
raw total energy = -13.30 eV/f.u.

Cell and atoms, written as POSCAR:
```
Pm2In
1.0
-2.9982 4.2149 1.3595
-5.3115 -4.1654 1.2004
2.9417 -0.9938 9.5682
Pm In
8 4
direct
0.7500 0.4709 0.7114 Pm
0.2500 0.0291 0.2114 Pm
0.7500 0.9709 0.7886 Pm
0.2500 0.5291 0.2886 Pm
0.7500 0.3051 0.0733 Pm
0.2500 0.1949 0.5733 Pm
0.7500 0.8051 0.4267 Pm
0.2500 0.6949 0.9267 Pm
0.7500 0.7847 0.1041 In
0.2500 0.7153 0.6041 In
0.7500 0.2847 0.3959 In
0.2500 0.2153 0.8959 In
```



Entry 6:
The following is a DFT calculation (PBE) of a relaxed Er3Sn3Rh2 crystal.

Output
N(E_F) = 22.955 states/eV/cell
total magnetization = 0.0000 μB/atom
E_form = -792 meV per atom
raw total energy = -46.74 eV/f.u.

Cell and atoms, written as POSCAR:
```
Er3Sn3Rh2
1.0
-1.8441 5.1335 1.9192
0.3305 -2.8597 7.9668
14.1842 4.6866 1.0937
Er Sn Rh
12 12 8
direct
0.1131 0.4709 0.3873 Er
0.6131 0.0291 0.6127 Er
0.8869 0.5291 0.8873 Er
0.3869 0.9709 0.1127 Er
0.8869 0.5291 0.6127 Er
0.3869 0.9709 0.3873 Er
0.1131 0.4709 0.1127 Er
0.6131 0.0291 0.8873 Er
0.6365 0.3309 0.2500 Er
0.1365 0.1691 0.7500 Er
0.3635 0.6691 0.7500 Er
0.8635 0.8309 0.2500 Er
0.1295 0.1860 0.2500 Sn
0.6295 0.3140 0.7500 Sn
0.8705 0.8140 0.7500 Sn
0.3705 0.6860 0.2500 Sn
0.6095 0.3058 0.4657 Sn
0.1095 0.1942 0.5343 Sn
0.3905 0.6942 0.9657 Sn
0.8905 0.8058 0.0343 Sn
0.3905 0.6942 0.5343 Sn
0.8905 0.8058 0.4657 Sn
0.6095 0.3058 0.0343 Sn
0.1095 0.1942 0.9657 Sn
0.8660 0.0831 0.3883 Rh
0.3660 0.4169 0.6117 Rh
0.1340 0.9169 0.8883 Rh
0.6340 0.5831 0.1117 Rh
0.1340 0.9169 0.6117 Rh
0.6340 0.5831 0.3883 Rh
0.8660 0.0831 0.1117 Rh
0.3660 0.4169 0.8883 Rh
```



Repeat the fourth record exactly.
The following is a DFT calculation (PBE) of a relaxed Cs3TeCl6 crystal.

Output
N(E_F) = 0.000 states/eV/cell
raw formation energy = -1.338 eV/atom
relative energy among the computed polymorphs = 8 meV/atom
total magnetization = 0.1000 μB/atom
raw total energy = -30.16 eV/f.u.

Cell and atoms, written as POSCAR:
```
Cs3TeCl6
1.0
8.2140 0.0000 0.0000
0.0000 8.2140 0.0000
4.1070 4.1070 6.4392
Cs Te Cl
3 1 6
direct
0.7500 0.2500 0.5000 Cs
0.2500 0.7500 0.5000 Cs
0.0000 0.0000 0.0000 Cs
0.5000 0.5000 0.0000 Te
0.2554 0.2554 0.4891 Cl
0.7446 0.7446 0.5109 Cl
0.2799 0.2799 0.0000 Cl
0.7201 0.7201 0.0000 Cl
0.7201 0.2799 0.0000 Cl
0.2799 0.7201 0.0000 Cl
```



What did the sixth record say?
The following is a DFT calculation (PBE) of a relaxed Er3Sn3Rh2 crystal.

Output
N(E_F) = 22.955 states/eV/cell
total magnetization = 0.0000 μB/atom
E_form = -792 meV per atom
raw total energy = -46.74 eV/f.u.

Cell and atoms, written as POSCAR:
```
Er3Sn3Rh2
1.0
-1.8441 5.1335 1.9192
0.3305 -2.8597 7.9668
14.1842 4.6866 1.0937
Er Sn Rh
12 12 8
direct
0.1131 0.4709 0.3873 Er
0.6131 0.0291 0.6127 Er
0.8869 0.5291 0.8873 Er
0.3869 0.9709 0.1127 Er
0.8869 0.5291 0.6127 Er
0.3869 0.9709 0.3873 Er
0.1131 0.4709 0.1127 Er
0.6131 0.0291 0.8873 Er
0.6365 0.3309 0.2500 Er
0.1365 0.1691 0.7500 Er
0.3635 0.6691 0.7500 Er
0.8635 0.8309 0.2500 Er
0.1295 0.1860 0.2500 Sn
0.6295 0.3140 0.7500 Sn
0.8705 0.8140 0.7500 Sn
0.3705 0.6860 0.2500 Sn
0.6095 0.3058 0.4657 Sn
0.1095 0.1942 0.5343 Sn
0.3905 0.6942 0.9657 Sn
0.8905 0.8058 0.0343 Sn
0.3905 0.6942 0.5343 Sn
0.8905 0.8058 0.4657 Sn
0.6095 0.3058 0.0343 Sn
0.1095 0.1942 0.9657 Sn
0.8660 0.0831 0.3883 Rh
0.3660 0.4169 0.6117 Rh
0.1340 0.9169 0.8883 Rh
0.6340 0.5831 0.1117 Rh
0.1340 0.9169 0.6117 Rh
0.6340 0.5831 0.3883 Rh
0.8660 0.0831 0.1117 Rh
0.3660 0.4169 0.8883 Rh
```



Please write out number 6 again, unchanged.
The following is a DFT calculation (PBE) of a relaxed Er3Sn3Rh2 crystal.

Output
N(E_F) = 22.955 states/eV/cell
total magnetization = 0.0000 μB/atom
E_form = -792 meV per atom
raw total energy = -46.74 eV/f.u.

Cell and atoms, written as POSCAR:
```
Er3Sn3Rh2
1.0
-1.8441 5.1335 1.9192
0.3305 -2.8597 7.9668
14.1842 4.6866 1.0937
Er Sn Rh
12 12 8
direct
0.1131 0.4709 0.3873 Er
0.6131 0.0291 0.6127 Er
0.8869 0.5291 0.8873 Er
0.3869 0.9709 0.1127 Er
0.8869 0.5291 0.6127 Er
0.3869 0.9709 0.3873 Er
0.1131 0.4709 0.1127 Er
0.6131 0.0291 0.8873 Er
0.6365 0.3309 0.2500 Er
0.1365 0.1691 0.7500 Er
0.3635 0.6691 0.7500 Er
0.8635 0.8309 0.2500 Er
0.1295 0.1860 0.2500 Sn
0.6295 0.3140 0.7500 Sn
0.8705 0.8140 0.7500 Sn
0.3705 0.6860 0.2500 Sn
0.6095 0.3058 0.4657 Sn
0.1095 0.1942 0.5343 Sn
0.3905 0.6942 0.9657 Sn
0.8905 0.8058 0.0343 Sn
0.3905 0.6942 0.5343 Sn
0.8905 0.8058 0.4657 Sn
0.6095 0.3058 0.0343 Sn
0.1095 0.1942 0.9657 Sn
0.8660 0.0831 0.3883 Rh
0.3660 0.4169 0.6117 Rh
0.1340 0.9169 0.8883 Rh
0.6340 0.5831 0.1117 Rh
0.1340 0.9169 0.6117 Rh
0.6340 0.5831 0.3883 Rh
0.8660 0.0831 0.1117 Rh
0.3660 0.4169 0.8883 Rh
```



- N(E_F) of number 6 (Er3Sn3Rh2)?
  22.955 states/eV/cell